1.
Density functional theory data (GGA-PBE) for a relaxed structure of TmAl4Cu2Pd.

Cell and atoms, written as extended XYZ:
```
8
Lattice="2.098 1.211 8.718 -2.098 1.211 8.718 0.000 -2.422 8.718" Properties=species:S:1:pos:R:3 pbc="T T T"
Tm 0.000 0.000 0.000
Al 0.000 0.000 3.345
Al 0.000 0.000 10.508
Al 0.000 0.000 15.647
Al 0.000 0.000 22.810
Cu 0.000 0.000 6.372
Cu 0.000 0.000 19.783
Pd 0.000 0.000 13.077
```

Calculated values
As for the formation energy: -0.424 eV/atom. Its symmetry is No. 166.



2.
Density functional theory data (GGA-PBE) for a relaxed structure of YAl2Cu2Pd.

Cell and atoms, written as extended XYZ:
```
6
Lattice="4.634 0.000 0.000 0.000 4.634 0.000 0.000 0.000 5.479" Properties=species:S:1:pos:R:3 pbc="T T T"
Y 0.000 0.000 0.000
Al 0.000 2.317 2.739
Al 2.317 0.000 2.739
Cu 2.317 2.317 1.246
Cu 2.317 2.317 4.233
Pd 0.000 0.000 2.739
```

Calculated values
As for the formation energy: -0.142 eV/atom. Its symmetry is No. 123.



3.
Density functional theory data (GGA-PBE) for a relaxed structure of YAl2CuPd4.

Cell and atoms, written as extended XYZ:
```
8
Lattice="2.179 1.258 8.055 -2.179 1.258 8.055 0.000 -2.516 8.055" Properties=species:S:1:pos:R:3 pbc="T T T"
Y 0.000 0.000 0.000
Al 0.000 0.000 5.750
Al 0.000 0.000 18.414
Cu 0.000 0.000 12.082
Pd 0.000 0.000 3.087
Pd 0.000 0.000 9.579
Pd 0.000 0.000 14.585
Pd 0.000 0.000 21.077
```

Calculated values
As for the formation energy: -0.727 eV/atom. Its symmetry is No. 166.



| no. | total magnetic moment (μB/atom) | uncorrected energy (eV/atom) |
| --- | --- | --- |
| 1 | 0.0000 | -4.53 |
| 2 | 0.0000 | -4.70 |
| 3 | 0.0000 | -5.58 |